This record from Alexandria via LeMat-Bulk describes a geometry-optimized MgZrN2F structure. The functional is PBE.

```
data_MgZrN2F
_space_group_name_H-M_alt 'P 1'
_space_group_IT_number 1
_cell_length_a 4.235
_cell_length_b 4.235
_cell_length_c 4.122
_cell_angle_alpha 90.00
_cell_angle_beta 90.00
_cell_angle_gamma 90.00
loop_
_space_group_symop_operation_xyz
'x,y,z'
loop_
_atom_site_label
_atom_site_type_symbol
_atom_site_fract_x
_atom_site_fract_y
_atom_site_fract_z
Mg1 Mg 0.000 0.000 0.000
Zr1 Zr 0.500 0.500 0.500
N1 N 0.000 0.500 0.500
N2 N 0.500 0.000 0.500
F1 F 0.500 0.500 0.000
```

Properties
**Calculated volume**: 73.9 Å³ per cell
**ΔE_f (raw)**: -0.9050 eV/atom
**Uncorrected energy**: -6.64 eV/atom
**Offset from the most stable computed form**: 0.000 eV/atom

---

This record from Alexandria via LeMat-Bulk describes a geometry-optimized ZnHgPtF6 structure. The functional is PBE.

```
data_ZnHgPtF6
_space_group_name_H-M_alt 'P 1'
_space_group_IT_number 1
_cell_length_a 5.638
_cell_length_b 5.638
_cell_length_c 9.801
_cell_angle_alpha 90.00
_cell_angle_beta 90.00
_cell_angle_gamma 120.00
loop_
_space_group_symop_operation_xyz
'x,y,z'
loop_
_atom_site_label
_atom_site_type_symbol
_atom_site_fract_x
_atom_site_fract_y
_atom_site_fract_z
Zn1 Zn 0.333 0.667 0.250
Zn2 Zn 0.667 0.333 0.750
Hg1 Hg 0.000 0.000 0.000
Hg2 Hg 0.000 0.000 0.500
Pt1 Pt 0.333 0.667 0.750
Pt2 Pt 0.667 0.333 0.250
F1 F 0.021 0.359 0.136
F2 F 0.021 0.661 0.364
F3 F 0.339 0.359 0.364
F4 F 0.339 0.979 0.136
F5 F 0.359 0.021 0.636
F6 F 0.359 0.339 0.864
F7 F 0.641 0.661 0.136
F8 F 0.641 0.979 0.364
F9 F 0.661 0.021 0.864
F10 F 0.661 0.641 0.636
F11 F 0.979 0.339 0.636
F12 F 0.979 0.641 0.864
```

Properties
**Calculated volume**: 269.8 Å³ per cell
**ΔE_f (raw)**: -1.4395 eV/atom
**Uncorrected energy**: -3.53 eV/atom

---

This record from Alexandria via LeMat-Bulk describes a geometry-optimized Pu2AlPd structure. The functional is PBE.

```
data_Pu2AlPd
_space_group_name_H-M_alt 'P 1'
_space_group_IT_number 1
_cell_length_a 3.552
_cell_length_b 3.552
_cell_length_c 5.218
_cell_angle_alpha 90.00
_cell_angle_beta 90.00
_cell_angle_gamma 90.00
loop_
_space_group_symop_operation_xyz
'x,y,z'
loop_
_atom_site_label
_atom_site_type_symbol
_atom_site_fract_x
_atom_site_fract_y
_atom_site_fract_z
Pu1 Pu 0.000 0.500 0.000
Pu2 Pu 0.500 0.000 0.000
Al1 Al 0.000 0.000 0.500
Pd1 Pd 0.500 0.500 0.500
```

Properties
**Calculated volume**: 65.9 Å³ per cell
**Uncorrected energy**: -9.49 eV/atom
**Formation energy from the elements**: -0.09 eV per atom

---

This record from Alexandria via LeMat-Bulk describes a geometry-optimized CaCo2Ni structure. The functional is PBE.

```
data_CaCo2Ni
_space_group_name_H-M_alt 'P 1'
_space_group_IT_number 1
_cell_length_a 4.401
_cell_length_b 4.401
_cell_length_c 16.136
_cell_angle_alpha 90.00
_cell_angle_beta 90.00
_cell_angle_gamma 90.00
loop_
_space_group_symop_operation_xyz
'x,y,z'
loop_
_atom_site_label
_atom_site_type_symbol
_atom_site_fract_x
_atom_site_fract_y
_atom_site_fract_z
Ca1 Ca 0.000 0.000 0.000
Ca2 Ca 0.000 0.500 0.250
Ca3 Ca 0.500 0.000 0.750
Ca4 Ca 0.500 0.500 0.500
Co1 Co 0.012 0.250 0.625
Co2 Co 0.250 0.512 0.875
Co3 Co 0.250 0.988 0.375
Co4 Co 0.488 0.250 0.125
Co5 Co 0.512 0.750 0.125
Co6 Co 0.750 0.012 0.375
Co7 Co 0.750 0.488 0.875
Co8 Co 0.988 0.750 0.625
Ni1 Ni 0.000 0.000 0.500
Ni2 Ni 0.000 0.500 0.750
Ni3 Ni 0.500 0.000 0.250
Ni4 Ni 0.500 0.500 0.000
```

Properties
**Calculated volume**: 312.5 Å³ per cell
**Uncorrected energy**: -5.05 eV/atom
**Formation energy from the elements**: 0.45 eV per atom

---

What did the first record say?
This record from Alexandria via LeMat-Bulk describes a geometry-optimized MgZrN2F structure. The functional is PBE.

```
data_MgZrN2F
_space_group_name_H-M_alt 'P 1'
_space_group_IT_number 1
_cell_length_a 4.235
_cell_length_b 4.235
_cell_length_c 4.122
_cell_angle_alpha 90.00
_cell_angle_beta 90.00
_cell_angle_gamma 90.00
loop_
_space_group_symop_operation_xyz
'x,y,z'
loop_
_atom_site_label
_atom_site_type_symbol
_atom_site_fract_x
_atom_site_fract_y
_atom_site_fract_z
Mg1 Mg 0.000 0.000 0.000
Zr1 Zr 0.500 0.500 0.500
N1 N 0.000 0.500 0.500
N2 N 0.500 0.000 0.500
F1 F 0.500 0.500 0.000
```

Properties
**Calculated volume**: 73.9 Å³ per cell
**ΔE_f (raw)**: -0.9050 eV/atom
**Uncorrected energy**: -6.64 eV/atom
**Offset from the most stable computed form**: 0.000 eV/atom